[1]
# Cs2HgN2 | Alexandria via LeMat-Bulk | PBE-GGA | optimized geometry
data_Cs2HgN2
_cell_length_a 3.500
_cell_length_b 3.500
_cell_length_c 22.423
_cell_angle_alpha 90.00
_cell_angle_beta 90.00
_cell_angle_gamma 90.00
_symmetry_space_group_name_H-M 'P 1'
_symmetry_Int_Tables_number 1
loop_
_symmetry_equiv_pos_as_xyz
'x,y,z'
loop_
_atom_site_label
_atom_site_type_symbol
_atom_site_fract_x
_atom_site_fract_y
_atom_site_fract_z
Cs1 Cs 0.000 0.000 0.149
Cs2 Cs 0.000 0.000 0.851
Cs3 Cs 0.500 0.500 0.351
Cs4 Cs 0.500 0.500 0.649
Hg1 Hg 0.000 0.000 0.500
Hg2 Hg 0.500 0.500 0.000
N1 N 0.000 0.500 0.250
N2 N 0.000 0.500 0.750
N3 N 0.500 0.000 0.250
N4 N 0.500 0.000 0.750
# * SG: I4/mmm, No. 139
# * energy relative to the lowest polymorph listed for this composition: 1467 meV/atom
# * raw formation energy: 1.36 eV per atom



[2]
# K3MgNp3Te8 | Alexandria via LeMat-Bulk | PBE-GGA | optimized geometry
data_K3MgNp3Te8
_cell_length_a 8.929
_cell_length_b 8.929
_cell_length_c 9.812
_cell_angle_alpha 117.12
_cell_angle_beta 117.12
_cell_angle_gamma 59.84
_symmetry_space_group_name_H-M 'P 1'
_symmetry_Int_Tables_number 1
loop_
_symmetry_equiv_pos_as_xyz
'x,y,z'
loop_
_atom_site_label
_atom_site_type_symbol
_atom_site_fract_x
_atom_site_fract_y
_atom_site_fract_z
K1 K 0.000 0.000 0.000
K2 K 0.000 0.500 0.000
K3 K 0.500 0.000 0.000
Mg1 Mg 0.000 0.000 0.500
Np1 Np 0.000 0.500 0.500
Np2 Np 0.500 0.000 0.500
Np3 Np 0.500 0.500 0.500
Te1 Te 0.232 0.737 0.701
Te2 Te 0.234 0.234 0.701
Te3 Te 0.263 0.263 0.289
Te4 Te 0.263 0.768 0.299
Te5 Te 0.737 0.232 0.701
Te6 Te 0.737 0.737 0.711
Te7 Te 0.766 0.766 0.299
Te8 Te 0.768 0.263 0.299
# * SG: C2/m, No. 12
# * raw formation energy: -0.81 eV per atom



[3]
# SrSb2Rh5 | Alexandria via LeMat-Bulk | PBE-GGA | optimized geometry
data_SrSb2Rh5
_cell_length_a 4.016
_cell_length_b 7.318
_cell_length_c 10.467
_cell_angle_alpha 90.00
_cell_angle_beta 90.00
_cell_angle_gamma 90.00
_symmetry_space_group_name_H-M 'P 1'
_symmetry_Int_Tables_number 1
loop_
_symmetry_equiv_pos_as_xyz
'x,y,z'
loop_
_atom_site_label
_atom_site_type_symbol
_atom_site_fract_x
_atom_site_fract_y
_atom_site_fract_z
Sr1 Sr 0.000 0.000 0.000
Sr2 Sr 0.500 0.500 0.500
Sb1 Sb 0.000 0.500 0.244
Sb2 Sb 0.000 0.500 0.756
Sb3 Sb 0.500 0.000 0.256
Sb4 Sb 0.500 0.000 0.744
Rh1 Rh 0.000 0.191 0.362
Rh2 Rh 0.000 0.191 0.638
Rh3 Rh 0.000 0.500 0.000
Rh4 Rh 0.000 0.809 0.362
Rh5 Rh 0.000 0.809 0.638
Rh6 Rh 0.500 0.000 0.500
Rh7 Rh 0.500 0.309 0.138
Rh8 Rh 0.500 0.309 0.862
Rh9 Rh 0.500 0.691 0.138
Rh10 Rh 0.500 0.691 0.862
# * SG: Immm, No. 71
# * raw formation energy: -0.38 eV per atom



[4]
# Pr3Ni6As5 | Alexandria via LeMat-Bulk | PBE-GGA | optimized geometry
data_Pr3Ni6As5
_cell_length_a 4.032
_cell_length_b 12.184
_cell_length_c 9.813
_cell_angle_alpha 90.00
_cell_angle_beta 90.00
_cell_angle_gamma 90.00
_symmetry_space_group_name_H-M 'P 1'
_symmetry_Int_Tables_number 1
loop_
_symmetry_equiv_pos_as_xyz
'x,y,z'
loop_
_atom_site_label
_atom_site_type_symbol
_atom_site_fract_x
_atom_site_fract_y
_atom_site_fract_z
Pr1 Pr 0.250 0.088 0.247
Pr2 Pr 0.250 0.412 0.247
Pr3 Pr 0.250 0.750 0.252
Pr4 Pr 0.750 0.250 0.748
Pr5 Pr 0.750 0.588 0.753
Pr6 Pr 0.750 0.912 0.753
Ni1 Ni 0.250 0.069 0.888
Ni2 Ni 0.250 0.250 0.002
Ni3 Ni 0.250 0.250 0.508
Ni4 Ni 0.250 0.431 0.888
Ni5 Ni 0.250 0.578 0.495
Ni6 Ni 0.250 0.922 0.495
Ni7 Ni 0.750 0.078 0.505
Ni8 Ni 0.750 0.422 0.505
Ni9 Ni 0.750 0.569 0.112
Ni10 Ni 0.750 0.750 0.492
Ni11 Ni 0.750 0.750 0.998
Ni12 Ni 0.750 0.931 0.112
As1 As 0.250 0.081 0.640
As2 As 0.250 0.419 0.640
As3 As 0.250 0.617 0.990
As4 As 0.250 0.750 0.620
As5 As 0.250 0.883 0.990
As6 As 0.750 0.117 0.010
As7 As 0.750 0.250 0.380
As8 As 0.750 0.383 0.010
As9 As 0.750 0.581 0.360
As10 As 0.750 0.919 0.360
# * SG: Pmmn, No. 59
# * formation energy: -0.8030 eV/atom



[5]
# YAlTeO6 | Alexandria via LeMat-Bulk | PBE-GGA | optimized geometry
data_YAlTeO6
_cell_length_a 5.073
_cell_length_b 5.073
_cell_length_c 9.885
_cell_angle_alpha 90.00
_cell_angle_beta 90.00
_cell_angle_gamma 120.00
_symmetry_space_group_name_H-M 'P 1'
_symmetry_Int_Tables_number 1
loop_
_symmetry_equiv_pos_as_xyz
'x,y,z'
loop_
_atom_site_label
_atom_site_type_symbol
_atom_site_fract_x
_atom_site_fract_y
_atom_site_fract_z
Y1 Y 0.000 0.000 0.000
Y2 Y 0.000 0.000 0.500
Al1 Al 0.333 0.667 0.250
Al2 Al 0.667 0.333 0.750
Te1 Te 0.333 0.667 0.750
Te2 Te 0.667 0.333 0.250
O1 O 0.003 0.367 0.142
O2 O 0.003 0.636 0.358
O3 O 0.364 0.367 0.358
O4 O 0.364 0.997 0.142
O5 O 0.367 0.003 0.642
O6 O 0.367 0.364 0.858
O7 O 0.633 0.636 0.142
O8 O 0.633 0.997 0.358
O9 O 0.636 0.003 0.858
O10 O 0.636 0.633 0.642
O11 O 0.997 0.364 0.642
O12 O 0.997 0.633 0.858
# * SG: P-31c, No. 163
# * raw formation energy: -2.36 eV per atom



[6]
# BaZn2PbAu5 | Alexandria via LeMat-Bulk | PBE-GGA | optimized geometry
data_BaZn2PbAu5
_cell_length_a 5.130
_cell_length_b 5.130
_cell_length_c 7.934
_cell_angle_alpha 90.00
_cell_angle_beta 90.00
_cell_angle_gamma 90.00
_symmetry_space_group_name_H-M 'P 1'
_symmetry_Int_Tables_number 1
loop_
_symmetry_equiv_pos_as_xyz
'x,y,z'
loop_
_atom_site_label
_atom_site_type_symbol
_atom_site_fract_x
_atom_site_fract_y
_atom_site_fract_z
Ba1 Ba 0.000 0.000 0.000
Zn1 Zn 0.500 0.500 0.333
Zn2 Zn 0.500 0.500 0.667
Pb1 Pb 0.000 0.000 0.500
Au1 Au 0.000 0.500 0.284
Au2 Au 0.000 0.500 0.716
Au3 Au 0.500 0.000 0.284
Au4 Au 0.500 0.000 0.716
Au5 Au 0.500 0.500 0.000
# * SG: P4/mmm, No. 123
# * formation energy: -0.2318 eV/atom



[7]
# FeBi | Alexandria via LeMat-Bulk | PBE-GGA | optimized geometry
data_FeBi
_cell_length_a 3.833
_cell_length_b 10.149
_cell_length_c 4.197
_cell_angle_alpha 90.00
_cell_angle_beta 90.00
_cell_angle_gamma 90.00
_symmetry_space_group_name_H-M 'P 1'
_symmetry_Int_Tables_number 1
loop_
_symmetry_equiv_pos_as_xyz
'x,y,z'
loop_
_atom_site_label
_atom_site_type_symbol
_atom_site_fract_x
_atom_site_fract_y
_atom_site_fract_z
Fe1 Fe 0.000 0.063 0.250
Fe2 Fe 0.000 0.937 0.750
Fe3 Fe 0.500 0.437 0.750
Fe4 Fe 0.500 0.563 0.250
Bi1 Bi 0.000 0.356 0.250
Bi2 Bi 0.000 0.644 0.750
Bi3 Bi 0.500 0.144 0.750
Bi4 Bi 0.500 0.856 0.250
# * SG: Cmcm, No. 63
# * formation energy: 0.3171 eV/atom



[8]
# Tb4Nd5Sm2 | Alexandria via LeMat-Bulk | PBE-GGA | optimized geometry
data_Tb4Nd5Sm2
_cell_length_a 12.251
_cell_length_b 12.251
_cell_length_c 8.889
_cell_angle_alpha 96.83
_cell_angle_beta 96.83
_cell_angle_gamma 16.43
_symmetry_space_group_name_H-M 'P 1'
_symmetry_Int_Tables_number 1
loop_
_symmetry_equiv_pos_as_xyz
'x,y,z'
loop_
_atom_site_label
_atom_site_type_symbol
_atom_site_fract_x
_atom_site_fract_y
_atom_site_fract_z
Tb1 Tb 0.046 0.046 0.364
Tb2 Tb 0.324 0.324 0.528
Tb3 Tb 0.676 0.676 0.472
Tb4 Tb 0.954 0.954 0.636
Nd1 Nd 0.140 0.140 0.119
Nd2 Nd 0.232 0.232 0.821
Nd3 Nd 0.500 0.500 0.000
Nd4 Nd 0.768 0.768 0.179
Nd5 Nd 0.860 0.860 0.881
Sm1 Sm 0.092 0.092 0.733
Sm2 Sm 0.908 0.908 0.267
# * SG: C2/m, No. 12
# * energy relative to the lowest polymorph listed for this composition: 0 meV/atom
# * formation energy: 0.1383 eV/atom



[9]
# SrNb2CrFe | Alexandria via LeMat-Bulk | PBE-GGA | optimized geometry
data_SrNb2CrFe
_cell_length_a 4.553
_cell_length_b 4.553
_cell_length_c 5.448
_cell_angle_alpha 90.00
_cell_angle_beta 90.00
_cell_angle_gamma 90.00
_symmetry_space_group_name_H-M 'P 1'
_symmetry_Int_Tables_number 1
loop_
_symmetry_equiv_pos_as_xyz
'x,y,z'
loop_
_atom_site_label
_atom_site_type_symbol
_atom_site_fract_x
_atom_site_fract_y
_atom_site_fract_z
Sr1 Sr 0.000 0.000 0.000
Nb1 Nb 0.000 0.500 0.500
Nb2 Nb 0.500 0.000 0.500
Cr1 Cr 0.000 0.000 0.500
Fe1 Fe 0.500 0.500 0.000
# * SG: P4/mmm, No. 123
# * formation energy: 1.5957 eV/atom



[10]
# AcNdAlGe | Alexandria via LeMat-Bulk | PBE-GGA | optimized geometry
data_AcNdAlGe
_cell_length_a 7.658
_cell_length_b 7.658
_cell_length_c 7.658
_cell_angle_alpha 90.00
_cell_angle_beta 90.00
_cell_angle_gamma 90.00
_symmetry_space_group_name_H-M 'P 1'
_symmetry_Int_Tables_number 1
loop_
_symmetry_equiv_pos_as_xyz
'x,y,z'
loop_
_atom_site_label
_atom_site_type_symbol
_atom_site_fract_x
_atom_site_fract_y
_atom_site_fract_z
Ac1 Ac 0.000 0.000 0.000
Ac2 Ac 0.000 0.500 0.500
Ac3 Ac 0.500 0.000 0.500
Ac4 Ac 0.500 0.500 0.000
Nd1 Nd 0.000 0.000 0.500
Nd2 Nd 0.000 0.500 0.000
Nd3 Nd 0.500 0.000 0.000
Nd4 Nd 0.500 0.500 0.500
Al1 Al 0.250 0.250 0.250
Al2 Al 0.250 0.750 0.750
Al3 Al 0.750 0.250 0.750
Al4 Al 0.750 0.750 0.250
Ge1 Ge 0.250 0.250 0.750
Ge2 Ge 0.250 0.750 0.250
Ge3 Ge 0.750 0.250 0.250
Ge4 Ge 0.750 0.750 0.750
# * SG: F-43m, No. 216
# * energy relative to the lowest polymorph listed for this composition: 217 meV/atom
# * formation energy: -0.3746 eV/atom